# 1
{
  "formula": "TlSiAuSe2S",
  "functional": "PBE-GGA",
  "state": "optimized geometry",
  "crystal_system": "orthorhombic",
  "lattice": [[3.3727, 6.8718, -2.5667], [-5.6487, -5.7685, -0.0491], [-5.2737, 5.1068, 6.7426]],
  "species": ["Au", "Au", "S", "S", "Se", "Se", "Se", "Se", "Si", "Si", "Tl", "Tl"],
  "frac_coords": [[0.1214, 0.8786, 0.2500], [0.8786, 0.1214, 0.7500], [0.4732, 0.5268, 0.2500], [0.5268, 0.4732, 0.7500], [0.1111, 0.8889, 0.0050], [0.1111, 0.8889, 0.4950], [0.8889, 0.1111, 0.5050], [0.8889, 0.1111, 0.9950], [0.5000, 0.5000, 0.0000], [0.5000, 0.5000, 0.5000], [0.7777, 0.2223, 0.2500], [0.2223, 0.7777, 0.7500]]
}

---

# 2
{
  "formula": "SmSnAuSeS2",
  "functional": "PBE-GGA",
  "state": "optimized geometry",
  "crystal_system": "orthorhombic",
  "lattice": [[-0.2413, 2.5555, 6.4040], [-2.1624, -5.0160, -4.2147], [8.7141, -6.0668, 2.7493]],
  "species": ["Au", "Au", "S", "S", "S", "S", "Se", "Se", "Sm", "Sm", "Sn", "Sn"],
  "frac_coords": [[0.0599, 0.9401, 0.2500], [0.9401, 0.0599, 0.7500], [0.1407, 0.8593, 0.0519], [0.1407, 0.8593, 0.4481], [0.8593, 0.1407, 0.5519], [0.8593, 0.1407, 0.9481], [0.4048, 0.5952, 0.2500], [0.5952, 0.4048, 0.7500], [0.5000, 0.5000, 0.0000], [0.5000, 0.5000, 0.5000], [0.7436, 0.2564, 0.2500], [0.2564, 0.7436, 0.7500]]
}

---

# 3
{
  "formula": "TlSnAuSeS2",
  "functional": "PBE-GGA",
  "state": "optimized geometry",
  "crystal_system": "orthorhombic",
  "lattice": [[1.9582, -7.7213, 0.0000], [1.9582, 7.7213, 0.0000], [0.0000, 0.0000, 10.4365]],
  "species": ["Au", "Au", "S", "S", "S", "S", "Se", "Se", "Sn", "Sn", "Tl", "Tl"],
  "frac_coords": [[0.3665, 0.6335, 0.2500], [0.6335, 0.3665, 0.7500], [0.3833, 0.6167, 0.0281], [0.3833, 0.6167, 0.4719], [0.6167, 0.3833, 0.5281], [0.6167, 0.3833, 0.9719], [0.0570, 0.9430, 0.2500], [0.9430, 0.0570, 0.7500], [0.0000, 0.0000, 0.0000], [0.0000, 0.0000, 0.5000], [0.7070, 0.2930, 0.2500], [0.2930, 0.7070, 0.7500]]
}

---

# 4
{
  "formula": "TmSnAuSe2S",
  "functional": "PBE-GGA",
  "state": "optimized geometry",
  "crystal_system": "orthorhombic",
  "lattice": [[-5.3784, 4.4582, -1.2312], [4.3980, -4.8866, -2.6641], [-6.6465, -7.3337, 2.4794]],
  "species": ["Au", "Au", "S", "S", "Se", "Se", "Se", "Se", "Sn", "Sn", "Tm", "Tm"],
  "frac_coords": [[0.0323, 0.9677, 0.2500], [0.9677, 0.0323, 0.7500], [0.4125, 0.5875, 0.2500], [0.5875, 0.4125, 0.7500], [0.1476, 0.8524, 0.0484], [0.1476, 0.8524, 0.4516], [0.8524, 0.1476, 0.5484], [0.8524, 0.1476, 0.9516], [0.7546, 0.2454, 0.2500], [0.2454, 0.7546, 0.7500], [0.5000, 0.5000, 0.0000], [0.5000, 0.5000, 0.5000]]
}

---

# 5
{
  "formula": "TmSnAuSeS2",
  "functional": "PBE-GGA",
  "state": "optimized geometry",
  "crystal_system": "orthorhombic",
  "lattice": [[0.9345, 1.6917, 7.2028], [-3.9856, 0.8129, -6.2506], [-5.8982, -8.2088, 2.6932]],
  "species": ["Au", "Au", "S", "S", "S", "S", "Se", "Se", "Sn", "Sn", "Tm", "Tm"],
  "frac_coords": [[0.3544, 0.6456, 0.2500], [0.6456, 0.3544, 0.7500], [0.3733, 0.6267, 0.0252], [0.3733, 0.6267, 0.4748], [0.6267, 0.3733, 0.5252], [0.6267, 0.3733, 0.9748], [0.0647, 0.9353, 0.2500], [0.9353, 0.0647, 0.7500], [0.6996, 0.3004, 0.2500], [0.3004, 0.6996, 0.7500], [0.0000, 0.0000, 0.0000], [0.0000, 0.0000, 0.5000]]
}

---

# 6
{
  "formula": "YSnAuSeS2",
  "functional": "PBE-GGA",
  "state": "optimized geometry",
  "crystal_system": "orthorhombic",
  "lattice": [[6.1089, 3.6328, 2.3001], [-7.0433, 0.3755, -2.4611], [-3.4841, -0.4142, 9.9076]],
  "species": ["Au", "Au", "S", "S", "S", "S", "Se", "Se", "Sn", "Sn", "Y", "Y"],
  "frac_coords": [[0.6465, 0.3535, 0.2500], [0.3535, 0.6465, 0.7500], [0.6287, 0.3713, 0.0262], [0.6287, 0.3713, 0.4738], [0.3713, 0.6287, 0.5262], [0.3713, 0.6287, 0.9738], [0.9322, 0.0678, 0.2500], [0.0678, 0.9322, 0.7500], [0.2994, 0.7006, 0.2500], [0.7006, 0.2994, 0.7500], [0.0000, 0.0000, 0.0000], [0.0000, 0.0000, 0.5000]]
}

---

# 7
{
  "formula": "YSnAuSe2S",
  "functional": "PBE-GGA",
  "state": "optimized geometry",
  "crystal_system": "orthorhombic",
  "lattice": [[-1.2800, 3.9214, -5.7667], [0.5871, -0.1207, 7.0648], [10.0451, 2.1042, -0.7988]],
  "species": ["Au", "Au", "S", "S", "Se", "Se", "Se", "Se", "Sn", "Sn", "Y", "Y"],
  "frac_coords": [[0.9696, 0.0304, 0.2500], [0.0304, 0.9696, 0.7500], [0.5887, 0.4113, 0.2500], [0.4113, 0.5887, 0.7500], [0.8506, 0.1494, 0.0525], [0.8506, 0.1494, 0.4475], [0.1494, 0.8506, 0.5525], [0.1494, 0.8506, 0.9475], [0.2456, 0.7544, 0.2500], [0.7544, 0.2456, 0.7500], [0.5000, 0.5000, 0.0000], [0.5000, 0.5000, 0.5000]]
}

---

# 8
{
  "formula": "SrTbAuSeS2",
  "functional": "PBE-GGA",
  "state": "optimized geometry",
  "crystal_system": "orthorhombic",
  "lattice": [[3.4869, 1.2896, 6.0752], [-5.9764, 0.9121, -3.7658], [-4.0041, -8.9257, 4.1929]],
  "species": ["Au", "Au", "S", "S", "S", "S", "Se", "Se", "Sr", "Sr", "Tb", "Tb"],
  "frac_coords": [[0.5342, 0.4658, 0.2500], [0.4658, 0.5342, 0.7500], [0.6359, 0.3641, 0.0572], [0.6359, 0.3641, 0.4428], [0.3641, 0.6359, 0.5572], [0.3641, 0.6359, 0.9428], [0.9049, 0.0951, 0.2500], [0.0951, 0.9049, 0.7500], [0.2344, 0.7656, 0.2500], [0.7656, 0.2344, 0.7500], [0.0000, 0.0000, 0.0000], [0.0000, 0.0000, 0.5000]]
}

---

# 9
{
  "formula": "SrTbAuSe2S",
  "functional": "PBE-GGA",
  "state": "optimized geometry",
  "crystal_system": "orthorhombic",
  "lattice": [[-0.1581, 1.1694, 7.0600], [-3.7026, -1.9800, -5.7972], [2.6537, -9.9731, 1.7113]],
  "species": ["Au", "Au", "S", "S", "Se", "Se", "Se", "Se", "Sr", "Sr", "Tb", "Tb"],
  "frac_coords": [[0.0285, 0.9715, 0.2500], [0.9715, 0.0285, 0.7500], [0.4167, 0.5833, 0.2500], [0.5833, 0.4167, 0.7500], [0.1461, 0.8539, 0.0537], [0.1461, 0.8539, 0.4463], [0.8539, 0.1461, 0.5537], [0.8539, 0.1461, 0.9463], [0.7561, 0.2439, 0.2500], [0.2439, 0.7561, 0.7500], [0.5000, 0.5000, 0.0000], [0.5000, 0.5000, 0.5000]]
}

---

# 10
{
  "formula": "SrYAuSeS2",
  "functional": "PBE-GGA",
  "state": "optimized geometry",
  "crystal_system": "orthorhombic",
  "lattice": [[2.0199, -6.8280, 0.0000], [2.0199, 6.8280, 0.0000], [0.0000, 0.0000, 10.6189]],
  "species": ["Au", "Au", "S", "S", "S", "S", "Se", "Se", "Sr", "Sr", "Y", "Y"],
  "frac_coords": [[0.5353, 0.4647, 0.2500], [0.4647, 0.5353, 0.7500], [0.6358, 0.3642, 0.0563], [0.6358, 0.3642, 0.4437], [0.3642, 0.6358, 0.5563], [0.3642, 0.6358, 0.9437], [0.9053, 0.0947, 0.2500], [0.0947, 0.9053, 0.7500], [0.2343, 0.7657, 0.2500], [0.7657, 0.2343, 0.7500], [0.0000, 0.0000, 0.0000], [0.0000, 0.0000, 0.5000]]
}

---

# 11
{
  "formula": "TaTlAuSe2S",
  "functional": "PBE-GGA",
  "state": "optimized geometry",
  "crystal_system": "orthorhombic",
  "lattice": [[1.8108, -7.7924, 0.0000], [1.8108, 7.7924, 0.0000], [0.0000, 0.0000, 9.9262]],
  "species": ["Au", "Au", "S", "S", "Se", "Se", "Se", "Se", "Ta", "Ta", "Tl", "Tl"],
  "frac_coords": [[0.0589, 0.9411, 0.2500], [0.9411, 0.0589, 0.7500], [0.4399, 0.5601, 0.2500], [0.5601, 0.4399, 0.7500], [0.1245, 0.8755, 0.0187], [0.1245, 0.8755, 0.4813], [0.8755, 0.1245, 0.5187], [0.8755, 0.1245, 0.9813], [0.5000, 0.5000, 0.0000], [0.5000, 0.5000, 0.5000], [0.7506, 0.2494, 0.2500], [0.2494, 0.7506, 0.7500]]
}

---

# 12
{
  "formula": "Tl2Au2Se3S",
  "functional": "PBE-GGA",
  "state": "optimized geometry",
  "crystal_system": "monoclinic",
  "lattice": [[6.9086, -3.0570, 0.0000], [6.9086, 3.0570, 0.0000], [-2.6231, 0.0000, 5.5128]],
  "species": ["Au", "Au", "S", "Se", "Se", "Se", "Tl", "Tl"],
  "frac_coords": [[0.0057, 0.2290, 0.3502], [0.7710, 0.9943, 0.6498], [0.1083, 0.8917, 0.0000], [0.8680, 0.6314, 0.2757], [0.6422, 0.3578, 0.5000], [0.3686, 0.1320, 0.7243], [0.2432, 0.5070, 0.1235], [0.4930, 0.7568, 0.8765]]
}

---

# 13
{
  "formula": "TlWAuSe2S",
  "functional": "PBE-GGA",
  "state": "optimized geometry",
  "crystal_system": "orthorhombic",
  "lattice": [[-0.4726, 7.6949, -2.1260], [0.0017, -7.8718, -1.4108], [-9.8213, -0.2386, 1.3194]],
  "species": ["Au", "Au", "S", "S", "Se", "Se", "Se", "Se", "Tl", "Tl", "W", "W"],
  "frac_coords": [[0.5670, 0.4330, 0.2500], [0.4330, 0.5670, 0.7500], [0.9431, 0.0569, 0.2500], [0.0569, 0.9431, 0.7500], [0.6219, 0.3781, 0.0120], [0.6219, 0.3781, 0.4880], [0.3781, 0.6219, 0.5120], [0.3781, 0.6219, 0.9880], [0.2490, 0.7510, 0.2500], [0.7510, 0.2490, 0.7500], [0.0000, 0.0000, 0.0000], [0.0000, 0.0000, 0.5000]]
}

---

# 14
{
  "formula": "ZrTlAuSeS2",
  "functional": "PBE-GGA",
  "state": "optimized geometry",
  "crystal_system": "orthorhombic",
  "lattice": [[1.9178, -7.3916, 0.0000], [1.9178, 7.3916, 0.0000], [0.0000, 0.0000, 10.3329]],
  "species": ["Au", "Au", "S", "S", "S", "S", "Se", "Se", "Tl", "Tl", "Zr", "Zr"],
  "frac_coords": [[0.9329, 0.0671, 0.2500], [0.0671, 0.9329, 0.7500], [0.8805, 0.1195, 0.0290], [0.8805, 0.1195, 0.4710], [0.1195, 0.8805, 0.5290], [0.1195, 0.8805, 0.9710], [0.5695, 0.4305, 0.2500], [0.4305, 0.5695, 0.7500], [0.2499, 0.7501, 0.2500], [0.7501, 0.2499, 0.7500], [0.5000, 0.5000, 0.0000], [0.5000, 0.5000, 0.5000]]
}

---

# 15
{
  "formula": "TlSiTe2AuS",
  "functional": "PBE-GGA",
  "state": "optimized geometry",
  "crystal_system": "orthorhombic",
  "lattice": [[2.0273, -8.8066, 0.0000], [2.0273, 8.8066, 0.0000], [0.0000, 0.0000, 9.4310]],
  "species": ["Au", "Au", "S", "S", "Si", "Si", "Te", "Te", "Te", "Te", "Tl", "Tl"],
  "frac_coords": [[0.6193, 0.3807, 0.2500], [0.3807, 0.6193, 0.7500], [0.0246, 0.9754, 0.2500], [0.9754, 0.0246, 0.7500], [0.0000, 0.0000, 0.0000], [0.0000, 0.0000, 0.5000], [0.3915, 0.6085, 0.0362], [0.3915, 0.6085, 0.4638], [0.6085, 0.3915, 0.5362], [0.6085, 0.3915, 0.9638], [0.2401, 0.7599, 0.2500], [0.7599, 0.2401, 0.7500]]
}

---

# 16
{
  "formula": "TlSiTeAuS2",
  "functional": "PBE-GGA",
  "state": "optimized geometry",
  "crystal_system": "orthorhombic",
  "lattice": [[1.6902, -8.3094, 0.0000], [1.6902, 8.3094, 0.0000], [0.0000, 0.0000, 10.6263]],
  "species": ["Au", "Au", "S", "S", "S", "S", "Si", "Si", "Te", "Te", "Tl", "Tl"],
  "frac_coords": [[0.6161, 0.3839, 0.2500], [0.3839, 0.6161, 0.7500], [0.6002, 0.3998, 0.0287], [0.6002, 0.3998, 0.4713], [0.3998, 0.6002, 0.5287], [0.3998, 0.6002, 0.9713], [0.0000, 0.0000, 0.0000], [0.0000, 0.0000, 0.5000], [0.9498, 0.0502, 0.2500], [0.0502, 0.9498, 0.7500], [0.2751, 0.7249, 0.2500], [0.7249, 0.2751, 0.7500]]
}

---

# 17
{
  "formula": "SmSnTe2AuS",
  "functional": "PBE-GGA",
  "state": "optimized geometry",
  "crystal_system": "orthorhombic",
  "lattice": [[2.1443, -7.3209, 0.0000], [2.1443, 7.3209, 0.0000], [0.0000, 0.0000, 10.4078]],
  "species": ["Au", "Au", "S", "S", "Sm", "Sm", "Sn", "Sn", "Te", "Te", "Te", "Te"],
  "frac_coords": [[0.0217, 0.9783, 0.2500], [0.9783, 0.0217, 0.7500], [0.4169, 0.5831, 0.2500], [0.5831, 0.4169, 0.7500], [0.5000, 0.5000, 0.0000], [0.5000, 0.5000, 0.5000], [0.7754, 0.2246, 0.2500], [0.2246, 0.7754, 0.7500], [0.1547, 0.8453, 0.0608], [0.1547, 0.8453, 0.4392], [0.8453, 0.1547, 0.5608], [0.8453, 0.1547, 0.9392]]
}

---

# 18
{
  "formula": "SrSmAuS3",
  "functional": "PBE-GGA",
  "state": "optimized geometry",
  "crystal_system": "orthorhombic",
  "lattice": [[-1.6115, 3.2497, -10.7769], [-1.1323, -3.8522, -0.9923], [-11.3129, 2.6812, 2.5001]],
  "species": ["Au", "Au", "Au", "Au", "S", "S", "S", "S", "S", "S", "S", "S", "S", "S", "S", "S", "Sm", "Sm", "Sm", "Sm", "Sr", "Sr", "Sr", "Sr"],
  "frac_coords": [[0.7424, 0.5000, 0.2104], [0.2424, 0.0000, 0.2896], [0.7576, 0.5000, 0.7104], [0.2576, 0.0000, 0.7896], [0.8514, 0.5000, 0.0339], [0.4465, 0.0000, 0.1135], [0.1825, 0.5000, 0.1978], [0.6825, 0.0000, 0.3022], [0.9465, 0.5000, 0.3865], [0.3514, 0.0000, 0.4661], [0.6486, 0.5000, 0.5339], [0.0535, 0.0000, 0.6135], [0.3175, 0.5000, 0.6978], [0.8175, 0.0000, 0.8022], [0.5535, 0.5000, 0.8865], [0.1486, 0.0000, 0.9661], [0.6724, 0.0000, 0.0034], [0.1724, 0.5000, 0.4966], [0.8276, 0.0000, 0.5034], [0.3276, 0.5000, 0.9966], [0.9829, 0.0000, 0.1819], [0.4829, 0.5000, 0.3181], [0.5171, 0.0000, 0.6819], [0.0171, 0.5000, 0.8181]]
}

---

# 19
{
  "formula": "SrSmAuS3",
  "functional": "PBE-GGA",
  "state": "optimized geometry",
  "crystal_system": "monoclinic",
  "lattice": [[7.9024, 0.0000, 0.0000], [0.0000, 4.0388, 0.0000], [-2.4034, 0.0000, 9.1798]],
  "species": ["Au", "Au", "S", "S", "S", "S", "S", "S", "Sm", "Sm", "Sr", "Sr"],
  "frac_coords": [[0.6174, 0.2500, 0.0882], [0.3826, 0.7500, 0.9118], [0.7892, 0.7500, 0.0333], [0.5620, 0.2500, 0.3395], [0.0675, 0.2500, 0.3571], [0.9325, 0.7500, 0.6429], [0.4380, 0.7500, 0.6605], [0.2108, 0.2500, 0.9667], [0.8100, 0.7500, 0.3383], [0.1900, 0.2500, 0.6617], [0.2647, 0.7500, 0.2241], [0.7353, 0.2500, 0.7759]]
}

---

# 20
{
  "formula": "TbSnAuS3",
  "functional": "PBE-GGA",
  "state": "optimized geometry",
  "crystal_system": "orthorhombic",
  "lattice": [[6.5052, -1.9913, 0.0000], [6.5052, 1.9913, 0.0000], [0.0000, 0.0000, 10.4545]],
  "species": ["Au", "Au", "S", "S", "S", "S", "S", "S", "Sn", "Sn", "Tb", "Tb"],
  "frac_coords": [[0.5496, 0.5496, 0.2500], [0.4504, 0.4504, 0.7500], [0.6431, 0.6431, 0.0488], [0.9080, 0.9080, 0.2500], [0.6431, 0.6431, 0.4512], [0.3569, 0.3569, 0.5488], [0.0920, 0.0920, 0.7500], [0.3569, 0.3569, 0.9512], [0.2513, 0.2513, 0.2500], [0.7487, 0.7487, 0.7500], [0.0000, 0.0000, 0.0000], [0.0000, 0.0000, 0.5000]]
}

---

Looking at final energy for the records above, in order, we have -3.81; -4.85; -3.84; -4.67; -4.88; -5.21; -5.02; -5.06; -4.95; -5.37; -5.11; -3.33; -4.94; -5.12; -3.63; -3.90; -4.47; -5.19; -5.21; -4.95 eV per atom.